Record 1
Compound: Tc2AsAu
Source: OQMD
Functional: PBE
Structure: optimized geometry

As for the space group: F-43m (216). The total energy is -26.5 eV for the cell shown.

abc: 4.4875 4.4875 4.4875
angles: 60.00 60.00 60.00
Fractional positions:
Tc  0.0000  0.0000  0.0000
Tc  0.2500  0.2500  0.2500
As  0.5000  0.5000  0.5000
Au  0.7500  0.7500  0.7500

=====

Record 2
Compound: ThCu
Source: OQMD
Functional: PBE
Structure: optimized geometry

As for the space group: Fm-3m (225). The energy of formation from the pure elements comes out at 0.1982 eV per atom.

abc: 4.1383 4.1383 4.1383
angles: 60.00 60.00 60.00
Fractional positions:
Th  0.0000  0.0000  0.0000
Cu  0.5000  0.5000  0.5000

=====

Record 3
Compound: Ta2GaCu
Source: OQMD
Functional: PBE
Structure: optimized geometry

As for the space group: F-43m (216). The total energy is -29.0 eV for the cell shown.

abc: 4.5150 4.5150 4.5150
angles: 60.00 60.00 60.00
Fractional positions:
Ta  0.0000  0.0000  0.0000
Ta  0.2500  0.2500  0.2500
Ga  0.5000  0.5000  0.5000
Cu  0.7500  0.7500  0.7500

=====

Record 4
Compound: CsLiThS3
Source: OQMD
Functional: PBE
Structure: optimized geometry

As for the space group: Cmcm (63). The total energy is -65.8 eV for the cell shown.

abc: 7.8456 7.8456 10.8428
angles: 90.00 90.00 148.77
Fractional positions:
Cs  0.2403  0.7597  0.7500
Cs  0.7597  0.2403  0.2500
Li  0.0368  0.9632  0.2500
Li  0.9632  0.0368  0.7500
Th  0.5000  0.5000  0.0000
Th  0.5000  0.5000  0.5000
S  0.1147  0.8853  0.0542
S  0.1147  0.8853  0.4458
S  0.4532  0.5468  0.2500
S  0.5468  0.4532  0.7500
S  0.8853  0.1147  0.5542
S  0.8853  0.1147  0.9458

=====

Number 1: ρ 12.16 g/cm³, total moment 0.0 Bohr magnetons per cell. Number 2: ρ 9.79 g/cm³, total moment 1.2 Bohr magnetons per cell. Number 3: ρ 12.63 g/cm³, total moment 0.5 Bohr magnetons per cell. Number 4: ρ 4.49 g/cm³, total moment 0.0 Bohr magnetons per cell.